1.
A geometry-optimized Hg6SbS8 structure. Source: Alexandria, functional GGA-PBE.

Unit cell a=7.4597 b=7.4597 c=7.4597 alpha=86.26 beta=86.26 gamma=86.26
Atoms (fractional coordinates):
Hg (0.0303, 0.7140, 0.6230)
Hg (0.2860, 0.3770, 0.9697)
Hg (0.3770, 0.9697, 0.2860)
Hg (0.6230, 0.0303, 0.7140)
Hg (0.7140, 0.6230, 0.0303)
Hg (0.9697, 0.2860, 0.3770)
Sb (0.5000, 0.5000, 0.5000)
S (0.1302, 0.1302, 0.1302)
S (0.1918, 0.6178, 0.3529)
S (0.3529, 0.1918, 0.6178)
S (0.3822, 0.6471, 0.8082)
S (0.6178, 0.3529, 0.1918)
S (0.6471, 0.8082, 0.3822)
S (0.8082, 0.3822, 0.6471)
S (0.8698, 0.8698, 0.8698)

- raw formation energy (eV per atom) = -0.068
- SG = R-3, No. 148

=====

2.
A geometry-optimized Ta2TlPb structure. Source: Alexandria, functional GGA-PBE.

Unit cell a=10.2917 b=10.2917 c=10.2917 alpha=18.44 beta=18.44 gamma=18.44
Atoms (fractional coordinates):
Ta (0.0000, 0.0000, 0.0000)
Ta (0.2705, 0.2705, 0.2705)
Tl (0.5204, 0.5204, 0.5204)
Pb (0.7534, 0.7534, 0.7534)

- calculated formation energy (eV/atom) = 0.430
- excess energy over the best structure of this formula in the dataset (meV per atom) = 72
- SG = R3m, No. 160

=====

3.
A geometry-optimized Rb2Ta3TiO12 structure. Source: Alexandria, functional GGA-PBE.

Unit cell a=7.4297 b=7.4297 c=7.4297 alpha=60.41 beta=60.41 gamma=60.41
Atoms (fractional coordinates):
Rb (0.1256, 0.1256, 0.1256)
Rb (0.8744, 0.8744, 0.8744)
Ta (0.0000, 0.5000, 0.5000)
Ta (0.5000, 0.0000, 0.5000)
Ta (0.5000, 0.5000, 0.0000)
Ti (0.5000, 0.5000, 0.5000)
O (0.1851, 0.1851, 0.5627)
O (0.1851, 0.5627, 0.1851)
O (0.1913, 0.5618, 0.5618)
O (0.4373, 0.8149, 0.8149)
O (0.4382, 0.4382, 0.8087)
O (0.4382, 0.8087, 0.4382)
O (0.5618, 0.1913, 0.5618)
O (0.5618, 0.5618, 0.1913)
O (0.5627, 0.1851, 0.1851)
O (0.8087, 0.4382, 0.4382)
O (0.8149, 0.4373, 0.8149)
O (0.8149, 0.8149, 0.4373)

- raw formation energy (eV per atom) = -2.381
- SG = R-3m, No. 166

=====

4.
A geometry-optimized CaMn2Os2 structure. Source: Alexandria, functional GGA-PBE.

Unit cell a=7.5220 b=7.5220 c=2.6518 alpha=90.00 beta=90.00 gamma=90.00
Atoms (fractional coordinates):
Ca (0.0000, 0.0000, 0.0000)
Ca (0.5000, 0.5000, 0.0000)
Mn (0.1145, 0.3855, 0.0000)
Mn (0.3855, 0.8855, 0.0000)
Mn (0.6145, 0.1145, 0.0000)
Mn (0.8855, 0.6145, 0.0000)
Os (0.1681, 0.6681, 0.5000)
Os (0.3319, 0.1681, 0.5000)
Os (0.6681, 0.8319, 0.5000)
Os (0.8319, 0.3319, 0.5000)

- calculated formation energy (eV/atom) = 0.261
- excess energy over the best structure of this formula in the dataset (meV per atom) = 30
- SG = P4/mbm, No. 127

=====

5.
A geometry-optimized NpScRh2 structure. Source: Alexandria, functional GGA-PBE.

Unit cell a=4.7187 b=4.7187 c=3.3137 alpha=90.00 beta=90.00 gamma=90.00
Atoms (fractional coordinates):
Np (0.0000, 0.0000, 0.0000)
Sc (0.5000, 0.5000, 0.0000)
Rh (0.0000, 0.5000, 0.5000)
Rh (0.5000, 0.0000, 0.5000)

- calculated formation energy (eV/atom) = -0.573
- SG = P4/mmm, No. 123

=====

6.
A geometry-optimized RbPdBr structure. Source: Alexandria, functional GGA-PBE.

Unit cell a=5.0222 b=5.0222 c=5.0222 alpha=60.00 beta=60.00 gamma=60.00
Atoms (fractional coordinates):
Rb (0.0000, 0.0000, 0.0000)
Pd (0.7500, 0.7500, 0.7500)
Br (0.5000, 0.5000, 0.5000)

- excess energy over the best structure of this formula in the dataset (meV per atom) = 387
- raw formation energy (eV per atom) = -0.334
- SG = F-43m, No. 216

=====

7.
A geometry-optimized Ca2YRh structure. Source: Alexandria, functional GGA-PBE.

Unit cell a=3.7935 b=4.6037 c=6.4577 alpha=90.00 beta=103.80 gamma=90.00
Atoms (fractional coordinates):
Ca (0.1175, 0.0000, 0.2898)
Ca (0.8825, 0.0000, 0.7102)
Y (0.5000, 0.5000, 0.0000)
Rh (0.5000, 0.5000, 0.5000)

- calculated formation energy (eV/atom) = 0.001
- excess energy over the best structure of this formula in the dataset (meV per atom) = 346
- SG = P2/m, No. 10

=====

8.
A geometry-optimized Y3Tm2Sc structure. Source: Alexandria, functional GGA-PBE.

Unit cell a=6.5867 b=7.1353 c=9.0212 alpha=113.21 beta=95.20 gamma=105.68
Atoms (fractional coordinates):
Y (0.1115, 0.3344, 0.3604)
Y (0.1168, 0.8315, 0.3574)
Y (0.2275, 0.1715, 0.9754)
Y (0.7725, 0.8285, 0.0246)
Y (0.8832, 0.1685, 0.6426)
Y (0.8885, 0.6656, 0.6396)
Tm (0.4409, 0.3369, 0.6997)
Tm (0.4431, 0.8339, 0.6999)
Tm (0.5569, 0.1661, 0.3001)
Tm (0.5591, 0.6631, 0.3003)
Sc (0.2168, 0.6636, 0.9737)
Sc (0.7832, 0.3364, 0.0263)

- calculated formation energy (eV/atom) = 0.014
- excess energy over the best structure of this formula in the dataset (meV per atom) = 0
- SG = P-1, No. 2

=====

| no. | magnetization (μB/cell) | VASP energy (eV/atom) |
| --- | --- | --- |
| 1 | 0.000 | -2.6645 |
| 2 | 0.000 | -7.0149 |
| 3 | 3.084 | -8.2078 |
| 4 | 0.000 | -8.2991 |
| 5 | 3.392 | -9.0671 |
| 6 | 0.000 | -2.9448 |
| 7 | 0.000 | -4.4535 |
| 8 | 0.000 | -5.7637 |